Compound: KCrRe
Source: Alexandria via LeMat-Bulk
Functional: PBE
Structure: optimized geometry

Lattice parameters (Å, degrees): 7.1822 7.1822 7.1822 155.10 155.10 35.51
Closest atoms and distances in Å follow each position.
Atoms (fractional coordinates):
K 0.0000 0.0000 0.0000  4 K 3.10
Cr 0.7119 0.7119 0.0000  4 Re 2.44
Re 0.2901 0.2901 0.0000  4 Cr 2.44

Results
volume: 21.87 Å³ per atom
energy above the lowest structure with this stoichiometry: 0.00 kJ/mol of atoms
uncorrected energy: -6.7569 eV per atom
ΔH_f (0 K): 93.2 kJ per mole of atoms
SG: No. 107



Compound: CsCa2TaRh
Source: Alexandria via LeMat-Bulk
Functional: PBE
Structure: optimized geometry

Lattice parameters (Å, degrees): 5.8097 5.8097 5.9133 90.00 90.00 90.00
Closest atoms and distances in Å follow each position.
Atoms (fractional coordinates):
Cs 0.0000 0.0000 0.0000  2 Ta 2.96
Ca 0.0000 0.5000 0.5000  2 Ta 2.90
Ca 0.5000 0.0000 0.5000  2 Ta 2.90
Ta 0.0000 0.0000 0.5000  4 Ca 2.90, 2 Cs 2.96
Rh 0.5000 0.5000 0.0000  4 Cs 4.11, 8 Ca 4.14

Results
volume: 39.92 Å³ per atom
uncorrected energy: -3.0318 eV per atom
ΔH_f (0 K): 171.8 kJ per mole of atoms
SG: No. 123



Compound: Li5Th3As12
Source: Alexandria via LeMat-Bulk
Functional: PBE
Structure: optimized geometry

Lattice parameters (Å, degrees): 14.9115 14.9115 14.9115 109.47 109.47 109.47
Closest atoms and distances in Å follow each position.
Atoms (fractional coordinates):
Li 0.0000 0.0000 0.0000  6 As 3.32
Li 0.0000 0.0000 0.5000  6 As 3.32
Li 0.0000 0.5000 0.0000  6 As 3.32
Li 0.0000 0.5000 0.5000  6 As 3.32
Li 0.1250 0.7500 0.8750  4 As 2.87
Li 0.1250 0.8750 0.2500  4 As 2.87
Li 0.2500 0.1250 0.8750  4 As 2.87
Li 0.2500 0.6250 0.3750  4 As 2.87
Li 0.3750 0.2500 0.6250  4 As 2.87
Li 0.3750 0.6250 0.7500  4 As 2.87
Li 0.5000 0.0000 0.0000  6 As 3.32
Li 0.5000 0.0000 0.5000  6 As 3.32
Li 0.5000 0.5000 0.0000  6 As 3.32
Li 0.5000 0.5000 0.5000  6 As 3.32
Li 0.6250 0.3750 0.2500  4 As 2.87
Li 0.6250 0.7500 0.3750  4 As 2.87
Li 0.7500 0.3750 0.6250  4 As 2.87
Li 0.7500 0.8750 0.1250  4 As 2.87
Li 0.8750 0.1250 0.7500  4 As 2.87
Li 0.8750 0.2500 0.1250  4 As 2.87
Th 0.1250 0.2500 0.3750  8 As 2.94-3.00
Th 0.1250 0.3750 0.7500  8 As 2.94-3.00
Th 0.2500 0.3750 0.1250  8 As 2.94-3.00
Th 0.2500 0.8750 0.6250  8 As 2.94-3.00
Th 0.3750 0.1250 0.2500  8 As 2.94-3.00
Th 0.3750 0.7500 0.1250  8 As 2.94-3.00
Th 0.6250 0.2500 0.8750  8 As 2.94-3.00
Th 0.6250 0.8750 0.7500  8 As 2.94-3.00
Th 0.7500 0.1250 0.3750  8 As 2.94-3.00
Th 0.7500 0.6250 0.8750  8 As 2.94-3.00
Th 0.8750 0.6250 0.2500  8 As 2.94-3.00
Th 0.8750 0.7500 0.6250  8 As 2.94-3.00
As 0.0806 0.2584 0.1672  1 As 2.42
As 0.0806 0.3222 0.9134  1 As 2.42
As 0.0866 0.6672 0.4089  1 As 2.42
As 0.0866 0.9194 0.6778  1 As 2.42
As 0.0911 0.7584 0.6778  1 As 2.42
As 0.0911 0.8328 0.4134  1 As 2.42
As 0.1672 0.0806 0.2584  1 As 2.42
As 0.1672 0.5866 0.9089  1 As 2.42
As 0.1778 0.2584 0.5911  1 As 2.42
As 0.1778 0.4194 0.5866  1 As 2.42
As 0.2416 0.3222 0.9089  1 As 2.42
As 0.2416 0.4194 0.3328  1 As 2.42
As 0.2584 0.1672 0.0806  1 As 2.42
As 0.2584 0.5911 0.1778  1 As 2.42
As 0.3222 0.9089 0.2416  1 As 2.42
As 0.3222 0.9134 0.0806  1 As 2.42
As 0.3328 0.2416 0.4194  1 As 2.42
As 0.3328 0.5911 0.9134  1 As 2.42
As 0.4089 0.0866 0.6672  1 As 2.42
As 0.4089 0.8222 0.7416  1 As 2.42
As 0.4134 0.0911 0.8328  1 As 2.42
As 0.4134 0.8222 0.5806  1 As 2.42
As 0.4194 0.3328 0.2416  1 As 2.42
As 0.4194 0.5866 0.1778  1 As 2.42
As 0.5806 0.4134 0.8222  1 As 2.42
As 0.5806 0.6672 0.7584  1 As 2.42
As 0.5866 0.1778 0.4194  1 As 2.42
As 0.5866 0.9089 0.1672  1 As 2.42
As 0.5911 0.1778 0.2584  1 As 2.42
As 0.5911 0.9134 0.3328  1 As 2.42
As 0.6672 0.4089 0.0866  1 As 2.42
As 0.6672 0.7584 0.5806  1 As 2.42
As 0.6778 0.0866 0.9194  1 As 2.42
As 0.6778 0.0911 0.7584  1 As 2.42
As 0.7416 0.4089 0.8222  1 As 2.42
As 0.7416 0.8328 0.9194  1 As 2.42
As 0.7584 0.5806 0.6672  1 As 2.42
As 0.7584 0.6778 0.0911  1 As 2.42
As 0.8222 0.5806 0.4134  1 As 2.42
As 0.8222 0.7416 0.4089  1 As 2.42
As 0.8328 0.4134 0.0911  1 As 2.42
As 0.8328 0.9194 0.7416  1 As 2.42
As 0.9089 0.1672 0.5866  1 As 2.42
As 0.9089 0.2416 0.3222  1 As 2.42
As 0.9134 0.0806 0.3222  1 As 2.42
As 0.9134 0.3328 0.5911  1 As 2.42
As 0.9194 0.6778 0.0866  1 As 2.42
As 0.9194 0.7416 0.8328  1 As 2.42

Results
volume: 31.90 Å³ per atom
uncorrected energy: -4.7679 eV per atom
ΔH_f (0 K): -37.3 kJ per mole of atoms
SG: No. 230



Compound: Cs4Pa3VN8
Source: Alexandria via LeMat-Bulk
Functional: PBE
Structure: optimized geometry

Lattice parameters (Å, degrees): 8.1257 8.1257 8.1257 51.17 51.17 51.17
Closest atoms and distances in Å follow each position.
Atoms (fractional coordinates):
Cs 0.0000 0.0000 0.0000  6 N 3.30, 6 Cs 3.51
Cs 0.0000 0.5000 0.5000  6 N 3.18-3.20, 6 Cs 3.51
Cs 0.5000 0.0000 0.5000  6 N 3.18-3.20, 6 Cs 3.51
Cs 0.5000 0.5000 0.0000  6 N 3.18-3.20, 6 Cs 3.51
Pa 0.0000 0.0000 0.5000  6 N 2.28-2.32
Pa 0.0000 0.5000 0.0000  6 N 2.28-2.32
Pa 0.5000 0.0000 0.0000  6 N 2.28-2.32
V 0.5000 0.5000 0.5000  6 N 2.16
N 0.2160 0.2160 0.2160  3 Pa 2.28
N 0.2348 0.7050 0.7050  1 V 2.16, 2 Pa 2.32
N 0.2950 0.2950 0.7652  1 V 2.16, 2 Pa 2.32
N 0.2950 0.7652 0.2950  1 V 2.16, 2 Pa 2.32
N 0.7050 0.2348 0.7050  1 V 2.16, 2 Pa 2.32
N 0.7050 0.7050 0.2348  1 V 2.16, 2 Pa 2.32
N 0.7652 0.2950 0.2950  1 V 2.16, 2 Pa 2.32
N 0.7840 0.7840 0.7840  3 Pa 2.28

Results
energy relative to the elements, uncorrected: -783.5 meV per atom
volume: 18.78 Å³ per atom
uncorrected energy: -7.5100 eV per atom
SG: No. 166



Compound: ScH2Ir
Source: Alexandria via LeMat-Bulk
Functional: PBE
Structure: optimized geometry

Lattice parameters (Å, degrees): 4.4010 4.4010 4.4010 48.67 48.67 48.67
Closest atoms and distances in Å follow each position.
Atoms (fractional coordinates):
Sc 0.0000 0.0000 0.0000  6 H 2.11
H 0.3563 0.3563 0.3563  1 Ir 1.67
H 0.6437 0.6437 0.6437  1 Ir 1.67
Ir 0.5000 0.5000 0.5000  2 H 1.67

Results
volume: 11.02 Å³ per atom
energy above the lowest structure with this stoichiometry: 5.57 kJ/mol of atoms
uncorrected energy: -5.8548 eV per atom
SG: No. 166



Compound: K2LiInH6
Source: Alexandria via LeMat-Bulk
Functional: PBE
Structure: optimized geometry

Lattice parameters (Å, degrees): 5.6976 5.6976 5.6976 60.00 60.00 60.00
Closest atoms and distances in Å follow each position.
Atoms (fractional coordinates):
K 0.2500 0.2500 0.2500  12 H 2.85
K 0.7500 0.7500 0.7500  12 H 2.85
Li 0.0000 0.0000 0.0000  6 H 2.06
In 0.5000 0.5000 0.5000  6 H 1.97
H 0.2551 0.2551 0.7449  1 In 1.97, 1 Li 2.06
H 0.2551 0.7449 0.2551  1 In 1.97, 1 Li 2.06
H 0.2551 0.7449 0.7449  1 In 1.97, 1 Li 2.06
H 0.7449 0.2551 0.2551  1 In 1.97, 1 Li 2.06
H 0.7449 0.2551 0.7449  1 In 1.97, 1 Li 2.06
H 0.7449 0.7449 0.2551  1 In 1.97, 1 Li 2.06

Results
volume: 13.08 Å³ per atom
uncorrected energy: -2.8349 eV per atom
SG: No. 225



Compound: Sc4PaAl5
Source: Alexandria via LeMat-Bulk
Functional: PBE
Structure: optimized geometry

Lattice parameters (Å, degrees): 3.1445 3.1445 20.0864 90.00 90.00 90.00
Closest atoms and distances in Å follow each position.
Atoms (fractional coordinates):
Sc 0.0000 0.0000 0.0974  8 Al 2.96-2.97, 4 Sc 3.14
Sc 0.0000 0.0000 0.2921  8 Al 2.96-2.97, 4 Sc 3.14
Sc 0.0000 0.0000 0.7079  8 Al 2.96-2.97, 4 Sc 3.14
Sc 0.0000 0.0000 0.9026  8 Al 2.96-2.97, 4 Sc 3.14
Pa 0.0000 0.0000 0.5000  8 Al 3.13, 4 Pa 3.14
Al 0.5000 0.5000 0.0000  8 Sc 2.96, 4 Al 3.14
Al 0.5000 0.5000 0.1951  8 Sc 2.96-2.97, 4 Al 3.14
Al 0.5000 0.5000 0.3905  4 Sc 2.97, 4 Pa 3.13, 4 Al 3.14
Al 0.5000 0.5000 0.6095  4 Sc 2.97, 4 Pa 3.13, 4 Al 3.14
Al 0.5000 0.5000 0.8049  8 Sc 2.96-2.97, 4 Al 3.14

Results
volume: 19.86 Å³ per atom
uncorrected energy: -5.7363 eV per atom
ΔH_f (0 K): -36.9 kJ per mole of atoms
SG: No. 123



Compound: Sn2Rh
Source: Alexandria via LeMat-Bulk
Functional: PBE
Structure: optimized geometry

Lattice parameters (Å, degrees): 3.4241 3.4241 12.5986 90.00 90.00 120.00
Closest atoms and distances in Å follow each position.
Atoms (fractional coordinates):
Sn 0.3333 0.6667 0.1020  3 Rh 2.72
Sn 0.3333 0.6667 0.3980  3 Rh 2.72
Sn 0.6667 0.3333 0.6020  3 Rh 2.72
Sn 0.6667 0.3333 0.8980  3 Rh 2.72
Rh 0.0000 0.0000 0.2500  6 Sn 2.72
Rh 0.0000 0.0000 0.7500  6 Sn 2.72

Results
volume: 21.32 Å³ per atom
uncorrected energy: -5.3512 eV per atom
ΔH_f (0 K): -22.4 kJ per mole of atoms
SG: No. 194



- uncorrected energy of number 4 (Cs4Pa3VN8)?
  -7.5100 eV per atom



- Which value of uncorrected energy does entry 5 give?
  -5.8548 eV per atom



- Among the records above, which one has the highest uncorrected energy?
  K2LiInH6



- Which formula does entry 2 have?
  CsCa2TaRh